Entry 1:
Density functional theory data (PBE) for crystalline Rb2SmAgBr6 at its relaxed geometry.

Magnetic moment, μB per formula unit: 0.000
Space group: P2_1/c, No. 14
Uncorrected formation energy, eV/atom: -1.538
N(E_F), states/eV per atom: 0.000

a b c (Å): 7.902 8.180 11.119
angles (deg): 90.00 89.67 90.00
Fractional coordinates of all 20 atoms:
Rb1 0.019 0.936 0.251
Rb2 0.519 0.564 0.751
Rb3 0.981 0.064 0.749
Rb4 0.481 0.436 0.249
Sm1 0.500 0.000 0.500
Sm2 0.000 0.500 0.000
Ag1 0.500 0.000 0.000
Ag2 0.000 0.500 0.500
Br1 0.292 0.700 0.042
Br2 0.792 0.800 0.542
Br3 0.708 0.300 0.958
Br4 0.208 0.200 0.458
Br5 0.302 0.710 0.460
Br6 0.802 0.790 0.960
Br7 0.698 0.290 0.540
Br8 0.198 0.210 0.040
Br9 0.919 0.514 0.252
Br10 0.419 0.986 0.752
Br11 0.081 0.486 0.748
Br12 0.581 0.014 0.248

***

Entry 2:
Density functional theory data (PBE) for crystalline InP2SI at its relaxed geometry.

Magnetic moment, μB per formula unit: 2.027
Space group: P4/mmm, No. 123
Energy above the most stable polymorph in this dataset, meV/atom: 163
Uncorrected formation energy, eV/atom: 1.145
N(E_F), states/eV per atom: 0.833

a b c (Å): 5.443 5.443 5.273
angles (deg): 90.00 90.00 90.00
Last column: magnetic moment on the atom in μB.
Fractional coordinates of all 5 atoms:
I1 0.000 0.000 0.000  -0.02
P1 0.000 0.500 0.000  0.38
P2 0.500 0.000 0.000  0.38
S1 0.000 0.000 0.500  0.18
In1 0.500 0.500 0.500  0.02

***

Entry 3:
Density functional theory data (PBE) for crystalline TaV3Os at its relaxed geometry.

Magnetic moment, μB per formula unit: 0.000
Energy relative to the elements, meV/atom: 4
Space group: P2_1/m, No. 11
Energy above the most stable polymorph in this dataset, meV/atom: 207
N(E_F), states/eV per atom: 0.840

a b c (Å): 5.150 5.065 5.735
angles (deg): 90.00 90.57 90.00
Fractional coordinates of all 10 atoms:
Ta1 0.633 0.750 0.354
Ta2 0.367 0.250 0.646
V1 0.861 0.997 0.823
V2 0.139 0.003 0.177
V3 0.861 0.503 0.823
V4 0.139 0.497 0.177
V5 0.129 0.750 0.545
V6 0.871 0.250 0.455
Os1 0.419 0.750 0.885
Os2 0.581 0.250 0.115

***

Entry 4:
Density functional theory data (PBE) for crystalline YBiNF2 at its relaxed geometry.

Magnetic moment, μB per formula unit: 0.910
Space group: P4/mmm, No. 123
Energy above the most stable polymorph in this dataset, meV/atom: 0
Uncorrected formation energy, eV/atom: -1.669
N(E_F), states/eV per atom: 0.154

a b c (Å): 4.281 4.281 4.920
angles (deg): 90.00 90.00 90.00
Last column: magnetic moment on the atom in μB.
Fractional coordinates of all 5 atoms:
Y1 0.000 0.000 0.000  0.01
N1 0.000 0.000 0.500  -0.04
Bi1 0.500 0.500 0.500  0.60
F1 0.000 0.500 0.000  0.04
F2 0.500 0.000 0.000  0.04

***

Entry 5:
Density functional theory data (PBE) for crystalline CdAgPt3 at its relaxed geometry.

Magnetic moment, μB per formula unit: 0.000
Energy relative to the elements, meV/atom: 1204
Space group: Pm-3m, No. 221
Energy above the most stable polymorph in this dataset, meV/atom: 1266
N(E_F), states/eV per atom: 0.781

a b c (Å): 4.898 4.898 4.898
angles (deg): 90.00 90.00 90.00
Fractional coordinates of all 5 atoms:
Ag1 0.000 0.000 0.000
Pt1 0.000 0.500 0.000
Pt2 0.000 0.000 0.500
Pt3 0.500 0.000 0.000
Cd1 0.500 0.500 0.500

***

Entry 6:
Density functional theory data (PBE) for crystalline NaPb2Cl5 at its relaxed geometry.

Magnetic moment, μB per formula unit: 0.000
Space group: Cmcm, No. 63
Energy above the most stable polymorph in this dataset, meV/atom: 2
Uncorrected formation energy, eV/atom: -1.306
N(E_F), states/eV per atom: 0.000

a b c (Å): 5.708 7.518 14.192
angles (deg): 90.00 90.00 112.31
Fractional coordinates of all 16 atoms:
Na1 0.795 0.589 0.750
Na2 0.205 0.411 0.250
Pb1 0.859 0.719 0.436
Pb2 0.859 0.719 0.064
Pb3 0.141 0.281 0.564
Pb4 0.141 0.281 0.936
Cl1 0.947 0.894 0.881
Cl2 0.947 0.894 0.619
Cl3 0.315 0.630 0.428
Cl4 0.315 0.630 0.072
Cl5 0.764 0.528 0.250
Cl6 0.236 0.472 0.750
Cl7 0.685 0.370 0.572
Cl8 0.685 0.370 0.928
Cl9 0.053 0.106 0.119
Cl10 0.053 0.106 0.381

***

Entry 7:
Density functional theory data (PBE) for crystalline Tl2ZnCl at its relaxed geometry.

Magnetic moment, μB per formula unit: 0.000
Space group: I-4m2, No. 119
Energy above the most stable polymorph in this dataset, meV/atom: 64
Uncorrected formation energy, eV/atom: -0.249
N(E_F), states/eV per atom: 0.331

a b c (Å): 6.571 6.571 6.571
angles (deg): 140.45 140.45 57.17
Fractional coordinates of all 4 atoms:
Cl1 0.750 0.250 0.500
Tl1 0.000 0.000 0.000
Tl2 0.250 0.750 0.500
Zn1 0.500 0.500 0.000

***

Entry 8:
Density functional theory data (PBE) for crystalline AlInAg2 at its relaxed geometry.

Magnetic moment, μB per formula unit: 0.000
Energy relative to the elements, meV/atom: 57
Space group: R3m, No. 160
N(E_F), states/eV per atom: 0.551

a b c (Å): 9.300 9.300 9.300
angles (deg): 19.33 19.33 19.33
Fractional coordinates of all 4 atoms:
Al1 0.506 0.506 0.506
Ag1 0.997 0.997 0.997
Ag2 0.247 0.247 0.247
In1 0.750 0.750 0.750